VASP calculation (PBE) on an optimized crystal structure of U2Sn2PRu4.

```
U2Sn2PRu4
1.0
6.212 -0.064 -0.093
-3.038 5.418 0.093
-3.038 -1.817 5.106
Ru U Sn P
4 2 2 1
direct
0.466 0.733 0.733 Ru
0.000 0.733 0.267 Ru
0.000 0.267 0.733 Ru
0.534 0.267 0.267 Ru
0.000 0.304 0.304 U
0.000 0.696 0.696 U
0.500 0.250 0.750 Sn
0.500 0.750 0.250 Sn
0.000 0.000 0.000 P
```

- symmetry = I4/mmm, No. 139
- E_form (eV per formula unit) = -0.81

VASP calculation (PBE) on an optimized crystal structure of La4CeGa2.

```
La4CeGa2
1.0
8.491 0.000 -0.902
0.000 6.362 0.000
-4.019 0.000 8.189
La Ga Ce
8 4 2
direct
0.976 0.250 0.062 La
0.024 0.750 0.938 La
0.499 0.000 0.796 La
0.977 0.250 0.416 La
0.501 0.000 0.204 La
0.023 0.750 0.584 La
0.499 0.500 0.796 La
0.501 0.500 0.204 La
0.177 0.250 0.839 Ga
0.823 0.750 0.161 Ga
0.652 0.750 0.576 Ga
0.348 0.250 0.424 Ga
0.756 0.250 0.628 Ce
0.244 0.750 0.372 Ce
```

- symmetry = P2_1/m, No. 11
- E_form (eV per formula unit) = -1.75

VASP calculation (PBE) on an optimized crystal structure of Rb2MgSeF6.

```
Rb2MgSeF6
1.0
6.513 0.000 0.000
0.000 6.513 0.000
3.257 3.257 4.080
F Rb Se Mg
6 2 1 1
direct
0.239 0.239 0.521 F
0.761 0.761 0.479 F
0.715 0.285 0.000 F
0.285 0.715 0.000 F
0.285 0.285 0.000 F
0.715 0.715 0.000 F
0.250 0.750 0.500 Rb
0.750 0.250 0.500 Rb
0.000 0.000 0.000 Se
0.500 0.500 0.000 Mg
```

- symmetry = I4/mmm, No. 139
- formation energy without anion corrections (eV per formula unit) = -24.18

Number 1: energy -73.91 eV per cell. Number 2: energy -66.90 eV per cell. Number 3: energy -42.42 eV per cell.